(1)
{"formula": "Li2Cu2Si4O11", "functional": "PBE", "state": "relaxed", "lattice": [[7.154, -0.148, -0.073], [-2.777, 7.382, 0.016], [-1.965, -1.789, 8.189]], "species": ["Li", "Li", "Li", "Li", "Cu", "Cu", "Cu", "Cu", "Si", "Si", "Si", "Si", "Si", "Si", "Si", "Si", "O", "O", "O", "O", "O", "O", "O", "O", "O", "O", "O", "O", "O", "O", "O", "O", "O", "O", "O", "O", "O", "O"], "frac_coords": [[0.354, 0.223, 0.790], [0.835, 0.256, 0.834], [0.165, 0.744, 0.166], [0.646, 0.777, 0.210], [0.116, 0.391, 0.613], [0.631, 0.392, 0.596], [0.369, 0.608, 0.404], [0.884, 0.609, 0.387], [0.762, 0.610, 0.964], [0.055, 0.785, 0.767], [0.486, 0.782, 0.784], [0.211, 0.024, 0.397], [0.789, 0.976, 0.603], [0.514, 0.218, 0.216], [0.945, 0.215, 0.233], [0.238, 0.390, 0.036], [0.176, 0.394, 0.846], [0.609, 0.729, 0.946], [0.665, 0.410, 0.833], [0.987, 0.748, 0.934], [0.311, 0.851, 0.826], [0.658, 0.963, 0.743], [0.347, 0.193, 0.557], [0.389, 0.601, 0.633], [0.845, 0.188, 0.580], [0.012, 0.961, 0.705], [0.922, 0.594, 0.623], [0.078, 0.406, 0.377], [0.988, 0.039, 0.295], [0.155, 0.812, 0.420], [0.611, 0.399, 0.367], [0.653, 0.807, 0.443], [0.342, 0.037, 0.257], [0.689, 0.149, 0.174], [0.013, 0.252, 0.066], [0.335, 0.590, 0.167], [0.391, 0.271, 0.054], [0.824, 0.606, 0.154]], "formation_energy_uncorrected_ev_per_atom": -2.18, "spacegroup": "P-1"}

***

(2)
{"formula": "Sc2TeI", "functional": "PBE", "state": "relaxed", "lattice": [[-0.838, 3.676, -0.965], [-3.459, 0.862, -1.563], [-4.360, 2.721, 6.305]], "species": ["Sc", "Sc", "Te", "I"], "frac_coords": [[0.080, 0.080, 0.760], [0.254, 0.254, 0.238], [0.667, 0.667, 0.999], [0.499, 0.499, 0.503]], "formation_energy_uncorrected_ev_per_atom": -0.78, "spacegroup": "R3m", "de_polymorph_ev_per_atom": 0.000}